Density functional theory data (PBE) for crystalline TaTiNbZn at its relaxed geometry.

- energy of formation (eV per atom) = -0.049
- spin magnetization (μB per atom) = 0.00
- space-group type = No. 99
- energy relative to the lowest polymorph listed for this composition (meV per atom) = 0

POSCAR file:
```
TaTiNbZn
1.0
3.360 0.000 0.000
0.000 3.360 0.000
0.000 0.000 6.040
Ta Ti Nb Zn
1 1 1 1
direct
0.500 0.500 0.108
0.000 0.000 0.854
0.000 0.000 0.354
0.500 0.500 0.612
```

=====

Density functional theory data (PBE) for crystalline Tl2ZnBiIr at its relaxed geometry.

- energy of formation (eV per atom) = 0.323
- spin magnetization (μB per atom) = 0.00
- space-group type = No. 123

POSCAR file:
```
Tl2ZnBiIr
1.0
5.299 0.000 0.000
0.000 4.898 0.000
0.000 0.000 5.299
Zn Tl Ir Bi
1 2 1 1
direct
0.000 0.500 0.000
0.000 0.000 0.500
0.500 0.000 0.000
0.000 0.000 0.000
0.500 0.500 0.500
```

=====

Density functional theory data (PBE) for crystalline MnSb3Te at its relaxed geometry.

- spin magnetization (μB per atom) = 0.20
- space-group type = No. 221
- energy relative to the lowest polymorph listed for this composition (meV per atom) = 0
- formation energy (no corrections) (eV/f.u.) = 1.38

POSCAR file:
```
MnSb3Te
1.0
5.023 0.000 0.000
0.000 5.023 0.000
0.000 0.000 5.023
Sb Te Mn
3 1 1
direct
0.000 0.500 0.000
0.000 0.000 0.500
0.500 0.000 0.000
0.500 0.500 0.500
0.000 0.000 0.000
```

=====

Density functional theory data (PBE) for crystalline CaHfCr2 at its relaxed geometry.

- energy of formation (eV per atom) = 0.636
- spin magnetization (μB per atom) = 1.47
- space-group type = No. 225
- energy relative to the lowest polymorph listed for this composition (meV per atom) = 0

POSCAR file:
```
CaHfCr2
1.0
0.000 3.400 3.400
3.400 0.000 3.400
3.400 3.400 0.000
Cr Ca Hf
2 1 1
direct
0.250 0.250 0.250
0.750 0.750 0.750
0.000 0.000 0.000
0.500 0.500 0.500
```

=====

Density functional theory data (PBE) for crystalline Tb2CePu3N6 at its relaxed geometry.

- spin magnetization (μB per atom) = 1.23
- space-group type = No. 12
- formation energy (no corrections) (eV/f.u.) = -17.17

POSCAR file:
```
Tb2CePu3N6
1.0
-0.066 -3.959 -4.611
3.798 -0.836 4.671
-5.210 -1.458 2.660
Tb Ce Pu N
2 1 3 6
direct
0.333 0.667 0.000
0.667 0.333 0.000
0.000 0.000 0.000
0.167 0.833 0.500
0.833 0.167 0.500
0.500 0.500 0.500
0.913 0.577 0.739
0.751 0.751 0.260
0.087 0.423 0.261
0.577 0.913 0.739
0.249 0.249 0.740
0.423 0.087 0.261
```

=====

Density functional theory data (PBE) for crystalline SnP2SCl at its relaxed geometry.

- spin magnetization (μB per atom) = 0.00
- space-group type = No. 123
- energy relative to the lowest polymorph listed for this composition (meV per atom) = 439
- formation energy (no corrections) (eV/f.u.) = 5.04

POSCAR file:
```
SnP2SCl
1.0
-0.973 -0.242 -4.550
-0.771 -4.577 0.408
-4.792 0.894 0.977
P S Sn Cl
2 1 1 1
direct
0.000 0.500 0.000
0.500 0.000 0.000
0.000 0.000 0.500
0.500 0.500 0.500
0.000 0.000 0.000
```

=====

Density functional theory data (PBE) for crystalline Sc2InSnPd4 at its relaxed geometry.

- energy of formation (eV per atom) = -0.855
- spin magnetization (μB per atom) = 0.00
- space-group type = No. 166

POSCAR file:
```
Sc2InSnPd4
1.0
-3.513 0.987 -2.885
-4.198 -1.871 0.721
-4.472 5.649 3.627
Sc In Sn Pd
2 1 1 4
direct
0.751 0.751 0.748
0.249 0.249 0.252
0.500 0.500 0.500
0.000 0.000 0.000
0.374 0.374 0.877
0.875 0.875 0.374
0.125 0.125 0.626
0.626 0.626 0.123
```

=====

Density functional theory data (PBE) for crystalline SiW3S at its relaxed geometry.

- spin magnetization (μB per atom) = 0.00
- space-group type = No. 221
- energy relative to the lowest polymorph listed for this composition (meV per atom) = 0
- formation energy (no corrections) (eV/f.u.) = 5.37

POSCAR file:
```
SiW3S
1.0
4.398 0.000 0.000
0.000 4.398 0.000
0.000 0.000 4.398
S Si W
1 1 3
direct
0.000 0.000 0.000
0.500 0.500 0.500
0.000 0.500 0.000
0.000 0.000 0.500
0.500 0.000 0.000
```